Record 1
Density functional theory data (PBE) for an optimized crystal structure of BaZn.

Fermi-level density of states: 30.84 states/eV/cell
ΔH_f (0 K): -0.103 eV/atom

Unit cell a=7.8641 b=10.2574 c=10.9801 alpha=90.00 beta=90.00 gamma=90.00
Atoms (fractional coordinates):
Zn 0.0000 0.7500 0.5148
Zn 0.7500 0.5406 0.9329
Zn 0.5000 0.7500 0.5148
Zn 0.7500 0.6745 0.3683
Zn 0.2500 0.3255 0.6317
Zn 0.0000 0.2500 0.4852
Zn 0.2500 0.8255 0.3683
Zn 0.7500 0.1745 0.6317
Zn 0.2500 0.4594 0.0671
Zn 0.2500 0.9594 0.9329
Zn 0.7500 0.0406 0.0671
Zn 0.5000 0.2500 0.4852
Ba 0.7500 0.4983 0.6198
Ba 0.0000 0.2500 0.8897
Ba 0.2500 0.5017 0.3802
Ba 0.0000 0.7500 0.1103
Ba 0.2500 0.6273 0.7736
Ba 0.7500 0.3727 0.2264
Ba 0.5000 0.2500 0.8897
Ba 0.7500 0.9983 0.3802
Ba 0.5000 0.7500 0.1103
Ba 0.2500 0.0017 0.6198
Ba 0.7500 0.8727 0.7736
Ba 0.2500 0.1273 0.2264

=====

Record 2
Density functional theory data (PBE) for an optimized crystal structure of Pa3ReSi7.

ΔE_f (raw): -0.379 eV per atom
Fermi-level density of states: 19.41 states/eV/cell

Unit cell a=3.9817 b=9.6774 c=10.5522 alpha=90.00 beta=90.00 gamma=101.87
Atoms (fractional coordinates):
Re 0.0549 0.1097 0.7500
Re 0.9451 0.8903 0.2500
Si 0.7281 0.4563 0.5375
Si 0.3774 0.7549 0.1414
Si 0.4971 0.9943 0.6220
Si 0.5029 0.0057 0.1220
Si 0.3774 0.7549 0.3586
Si 0.3800 0.7600 0.7500
Si 0.6200 0.2400 0.2500
Si 0.6226 0.2451 0.8586
Si 0.2719 0.5437 0.4625
Si 0.4971 0.9943 0.8780
Si 0.5029 0.0057 0.3780
Si 0.2719 0.5437 0.0375
Si 0.6226 0.2451 0.6414
Si 0.7281 0.4563 0.9625
Pa 0.2288 0.4576 0.7500
Pa 0.1115 0.2230 0.0548
Pa 0.1115 0.2230 0.4452
Pa 0.8885 0.7770 0.9452
Pa 0.8885 0.7770 0.5548
Pa 0.7712 0.5424 0.2500

=====

Record 3
Density functional theory data (PBE) for an optimized crystal structure of TbGaO3.

ΔE_f (raw): -2.655 eV per atom
Fermi-level density of states: 0.00 states/eV/cell

Unit cell a=3.3012 b=5.9741 c=6.5663 alpha=90.00 beta=90.00 gamma=90.00
Atoms (fractional coordinates):
O 0.0000 0.1255 0.2465
O 0.5000 0.7750 0.1171
O 0.5000 0.9597 0.5444
O 0.5000 0.4597 0.4556
O 0.0000 0.6255 0.7535
O 0.5000 0.2750 0.8829
Tb 0.0000 0.2322 0.6024
Tb 0.0000 0.7322 0.3976
Ga 0.5000 0.1031 0.1196
Ga 0.5000 0.6031 0.8804

=====

Record 4
Density functional theory data (PBE) for an optimized crystal structure of VS3Cl.

ΔE_f (raw): 0.021 eV per atom
Fermi-level density of states: 6.55 states/eV/cell

Unit cell a=4.5630 b=4.5630 c=4.5630 alpha=90.00 beta=90.00 gamma=90.00
Atoms (fractional coordinates):
S 0.0000 0.5000 0.0000
S 0.5000 0.0000 0.0000
S 0.0000 0.0000 0.5000
V 0.0000 0.0000 0.0000
Cl 0.5000 0.5000 0.5000

=====

Record 5
Density functional theory data (PBE) for an optimized crystal structure of Tb2CeHoEr.

Fermi-level density of states: 19.45 states/eV/cell
ΔH_f (0 K): 0.304 eV/atom

Unit cell a=6.7843 b=8.0225 c=5.8792 alpha=89.98 beta=90.00 gamma=90.00
Site moments in Bohr magnetons follow the coordinates.
Atoms (fractional coordinates):
Tb 0.3104 0.3015 0.2501  0.06
Tb 0.6896 0.3015 0.7501  0.06
Tb 0.6896 0.6985 0.7499  0.06
Tb 0.3104 0.6985 0.2499  0.06
Er 0.8388 0.5000 0.2500  0.01
Er 0.1612 0.5000 0.7500  0.01
Ho 0.5886 0.0000 0.2500  0.10
Ho 0.4114 0.0000 0.7500  0.10
Ce 0.0000 0.0000 0.0000  1.04
Ce 0.0000 0.0000 0.5000  1.04

=====

Record 6
Density functional theory data (PBE) for an optimized crystal structure of Zn2InTe4.

ΔE_f (raw): -0.286 eV per atom
Fermi-level density of states: 5.91 states/eV/cell

Unit cell a=6.1204 b=6.1204 c=6.1019 alpha=90.00 beta=90.00 gamma=90.00
Atoms (fractional coordinates):
Te 0.7235 0.2765 0.7544
Te 0.2765 0.2765 0.2456
Te 0.2765 0.7235 0.7544
Te 0.7235 0.7235 0.2456
Zn 0.0000 0.5000 0.5000
Zn 0.5000 0.0000 0.5000
In 0.0000 0.0000 0.0000

=====

Record 7
Density functional theory data (PBE) for an optimized crystal structure of K2LiTa.

Fermi-level density of states: 3.35 states/eV/cell
ΔH_f (0 K): 0.977 eV/atom

Unit cell a=13.2285 b=13.2285 c=13.2285 alpha=13.82 beta=13.82 gamma=13.82
Site moments in Bohr magnetons follow the coordinates.
Atoms (fractional coordinates):
K 0.0034 0.0034 0.0034  0.02
K 0.4966 0.4966 0.4966  0.02
Li 0.2500 0.2500 0.2500  0.04
Ta 0.7500 0.7500 0.7500  0.18

=====

Record 8
Density functional theory data (PBE) for an optimized crystal structure of ZrReBr3.

ΔE_f (raw): 1.035 eV per atom
Fermi-level density of states: 9.77 states/eV/cell

Unit cell a=4.9992 b=4.9992 c=4.9992 alpha=90.00 beta=90.00 gamma=90.00
Atoms (fractional coordinates):
Zr 0.5000 0.5000 0.5000
Br 0.5000 0.0000 0.0000
Br 0.0000 0.5000 0.0000
Br 0.0000 0.0000 0.5000
Re 0.0000 0.0000 0.0000

=====

Record 9
Density functional theory data (PBE) for an optimized crystal structure of NdSm4Cu5.

Fermi-level density of states: 6.29 states/eV/cell
ΔH_f (0 K): -0.173 eV/atom

Unit cell a=3.5397 b=3.5397 c=17.9354 alpha=90.00 beta=90.00 gamma=90.00
Atoms (fractional coordinates):
Cu 0.5000 0.5000 0.6992
Cu 0.5000 0.5000 0.1038
Cu 0.5000 0.5000 0.3008
Cu 0.5000 0.5000 0.8962
Cu 0.5000 0.5000 0.5000
Nd 0.0000 0.0000 0.0000
Sm 0.0000 0.0000 0.5995
Sm 0.0000 0.0000 0.4005
Sm 0.0000 0.0000 0.2016
Sm 0.0000 0.0000 0.7984

=====

Record 10
Density functional theory data (PBE) for an optimized crystal structure of Na8TiAs4.

ΔH_f (0 K): -0.534 eV/atom

Unit cell a=9.7864 b=9.7864 c=9.7864 alpha=60.00 beta=60.00 gamma=60.00
Atoms (fractional coordinates):
As 0.8550 0.8550 0.8550
As 0.8550 0.8550 0.4351
As 0.4351 0.8550 0.8550
As 0.3950 0.3950 0.8149
As 0.3950 0.8149 0.3950
As 0.8550 0.4351 0.8550
As 0.8149 0.3950 0.3950
As 0.3950 0.3950 0.3950
Na 0.4706 0.0294 0.0294
Na 0.0294 0.4706 0.0294
Na 0.7794 0.7794 0.2206
Na 0.6250 0.6250 0.6250
Na 0.6250 0.1250 0.6250
Na 0.1250 0.6250 0.6250
Na 0.2206 0.7794 0.2206
Na 0.6250 0.6250 0.1250
Na 0.7794 0.2206 0.2206
Na 0.4706 0.0294 0.4706
Na 0.2206 0.2206 0.7794
Na 0.0294 0.4706 0.4706
Na 0.2206 0.7794 0.7794
Na 0.7794 0.2206 0.7794
Na 0.0294 0.0294 0.4706
Na 0.4706 0.4706 0.0294
Ti 0.7500 0.7500 0.7500
Ti 0.5000 0.5000 0.5000

=====

Record 11
Density functional theory data (PBE) for an optimized crystal structure of SrPmTiO4.

ΔE_f (raw): -3.026 eV per atom
Fermi-level density of states: 2.61 states/eV/cell

Unit cell a=3.9136 b=3.9136 c=6.8393 alpha=106.63 beta=106.63 gamma=90.00
Site moments in Bohr magnetons follow the coordinates.
Atoms (fractional coordinates):
O 0.9936 0.4936 0.9872  -0.02
O 0.4936 0.9936 0.9872  -0.02
O 0.1754 0.1754 0.3508  0.00
O 0.8344 0.8344 0.6688  0.00
Pm 0.3582 0.3582 0.7163  0.06
Ti 0.0000 0.0000 0.0000  0.70
Sr 0.6449 0.6449 0.2897  0.01

=====

Record 12
Density functional theory data (PBE) for an optimized crystal structure of Sm3Tl2Ag.

Fermi-level density of states: 9.63 states/eV/cell
ΔH_f (0 K): -0.266 eV/atom

Unit cell a=6.5261 b=6.6119 c=8.6043 alpha=102.46 beta=112.29 gamma=90.00
Atoms (fractional coordinates):
Ag 0.8612 0.7500 0.0000
Ag 0.1388 0.2500 0.0000
Sm 0.2713 0.0911 0.3310
Sm 0.7287 0.9089 0.6690
Sm 0.3588 0.7500 0.0000
Sm 0.0597 0.5911 0.3310
Sm 0.6412 0.2500 0.0000
Sm 0.9403 0.4089 0.6690
Tl 0.7777 0.0473 0.3266
Tl 0.2223 0.9527 0.6734
Tl 0.4510 0.4527 0.6734
Tl 0.5490 0.5473 0.3266

=====

no.,volume (Å³/cell)
1,886
2,398
3,129
4,95
5,320
6,229
7,115
8,125
9,225
10,663
11,96
12,334